Record 1
TlFeRu2 GGA-PBEsol relaxed; energy = -7.296 eV/atom; space-group type = Pmmm, No. 47
1.0
2.982 0.000 0.000
0.000 4.401 0.000
0.000 0.000 4.563
Tl Fe Ru
1 1 2
Direct
0.000 0.000 0.000
0.500 0.000 0.500
0.000 0.500 0.500
0.500 0.500 0.000

---

Record 2
MnCCl3 GGA-PBEsol relaxed; energy relative to the elements, uncorrected = 883 meV per atom; space-group type = Pm-3m, No. 221
1.0
4.363 0.000 0.000
0.000 4.363 0.000
0.000 0.000 4.363
Mn C Cl
1 1 3
Direct
0.000 0.000 0.000
0.500 0.500 0.500
0.000 0.500 0.500
0.500 0.000 0.500
0.500 0.500 0.000

---

Record 3
AgAs2BrF GGA-PBEsol relaxed; energy relative to the elements, uncorrected = 270 meV per atom; space-group type = P4/mmm, No. 123
1.0
4.245 0.000 0.000
0.000 4.245 0.000
0.000 0.000 5.749
Ag As Br F
1 2 1 1
Direct
0.000 0.000 0.000
0.000 0.500 0.500
0.500 0.000 0.500
0.500 0.500 0.000
0.500 0.500 0.500

---

Record 4
LaPt2Pb2 GGA-PBEsol relaxed; energy = -5.956 eV/atom; space-group type = I4/mmm, No. 139
1.0
4.378 0.000 0.000
0.000 4.378 0.000
0.000 0.000 12.429
La Pt Pb
2 4 4
Direct
0.000 0.000 0.000
0.500 0.500 0.500
0.000 0.000 0.398
0.000 0.000 0.602
0.500 0.500 0.102
0.500 0.500 0.898
0.000 0.500 0.250
0.000 0.500 0.750
0.500 0.000 0.250
0.500 0.000 0.750

---

Record 5
Cr2S3O12 GGA-PBEsol relaxed; energy relative to the elements, uncorrected = -1524 meV per atom; space-group type = R-3, No. 148
1.0
4.059 2.344 7.331
-4.059 2.344 7.331
0.000 -4.687 7.331
Cr S O
4 6 24
Direct
0.144 0.144 0.144
0.349 0.349 0.349
0.651 0.651 0.651
0.856 0.856 0.856
0.037 0.752 0.459
0.248 0.541 0.963
0.459 0.037 0.752
0.541 0.963 0.248
0.752 0.459 0.037
0.963 0.248 0.541
0.013 0.799 0.611
0.116 0.742 0.875
0.125 0.884 0.258
0.159 0.212 0.525
0.172 0.542 0.487
0.201 0.389 0.987
0.212 0.525 0.159
0.258 0.125 0.884
0.389 0.987 0.201
0.458 0.513 0.828
0.475 0.841 0.788
0.487 0.172 0.542
0.513 0.828 0.458
0.525 0.159 0.212
0.542 0.487 0.172
0.611 0.013 0.799
0.742 0.875 0.116
0.788 0.475 0.841
0.799 0.611 0.013
0.828 0.458 0.513
0.841 0.788 0.475
0.875 0.116 0.742
0.884 0.258 0.125
0.987 0.201 0.389

---

Record 6
ZrMo2Ru GGA-PBEsol relaxed; energy = -10.621 eV/atom; space-group type = Cmm2, No. 35
1.0
3.169 0.000 0.000
0.000 4.636 0.000
0.000 0.000 8.733
Zr Mo Ru
2 4 2
Direct
0.000 0.000 0.000
0.500 0.500 0.000
0.000 0.000 0.510
0.000 0.500 0.271
0.500 0.000 0.271
0.500 0.500 0.510
0.000 0.500 0.747
0.500 0.000 0.747

---

Record 7
TaGeMoOs2 GGA-PBEsol relaxed; energy = -9.462 eV/atom; space-group type = P4/mmm, No. 123
1.0
4.406 0.000 0.000
0.000 4.406 0.000
0.000 0.000 4.494
Ta Ge Mo Os
1 1 1 2
Direct
0.000 0.000 0.000
0.500 0.500 0.500
0.500 0.500 0.000
0.000 0.500 0.500
0.500 0.000 0.500

---

Record 8
CsSn2IrBr GGA-PBEsol relaxed; energy relative to the elements, uncorrected = -287 meV per atom; space-group type = P4/mmm, No. 123
1.0
4.993 0.000 0.000
0.000 4.993 0.000
0.000 0.000 6.962
Cs Sn Ir Br
1 2 1 1
Direct
0.000 0.000 0.000
0.000 0.500 0.500
0.500 0.000 0.500
0.000 0.000 0.500
0.500 0.500 0.000

---

Record 9
CsRb2Ag GGA-PBEsol relaxed; energy = -1.414 eV/atom; space-group type = I-42d, No. 122
1.0
11.937 0.000 0.000
0.000 11.937 0.000
0.000 0.000 7.449
Cs Rb Ag
4 8 4
Direct
0.000 0.000 0.000
0.000 0.500 0.250
0.500 0.000 0.750
0.500 0.500 0.500
0.136 0.750 0.625
0.250 0.136 0.375
0.250 0.364 0.875
0.364 0.750 0.125
0.636 0.250 0.125
0.750 0.636 0.875
0.750 0.864 0.375
0.864 0.250 0.625
0.000 0.000 0.500
0.000 0.500 0.750
0.500 0.000 0.250
0.500 0.500 0.000

---

Record 10
HfZr2Hg2 GGA-PBEsol relaxed; energy = -5.655 eV/atom; space-group type = I4/mmm, No. 139
1.0
4.050 0.000 0.000
0.000 4.050 0.000
0.000 0.000 14.143
Hf Zr Hg
2 4 4
Direct
0.000 0.000 0.000
0.500 0.500 0.500
0.000 0.000 0.401
0.000 0.000 0.599
0.500 0.500 0.099
0.500 0.500 0.901
0.000 0.500 0.250
0.000 0.500 0.750
0.500 0.000 0.250
0.500 0.000 0.750

---

Record 11
Fe2CoSi GGA-PBEsol relaxed; energy relative to the elements, uncorrected = -332 meV per atom; space-group type = Immm, No. 71
1.0
2.852 0.000 0.000
0.000 3.820 0.000
0.000 0.000 7.795
Fe Co Si
4 2 2
Direct
0.000 0.000 0.246
0.000 0.000 0.754
0.500 0.500 0.254
0.500 0.500 0.746
0.000 0.500 0.000
0.500 0.000 0.500
0.000 0.500 0.500
0.500 0.000 0.000

---

Record 12
Ti2ReRhF GGA-PBEsol relaxed; energy relative to the elements, uncorrected = -168 meV per atom; space-group type = P4/mmm, No. 123
1.0
4.090 0.000 0.000
0.000 4.090 0.000
0.000 0.000 4.028
Ti Re Rh F
2 1 1 1
Direct
0.000 0.500 0.000
0.500 0.000 0.000
0.000 0.000 0.500
0.500 0.500 0.500
0.000 0.000 0.000

---

Record 13
LaMg2Co GGA-PBEsol relaxed; energy = -3.827 eV/atom; space-group type = I-42d, No. 122
1.0
3.960 0.000 0.000
0.000 3.960 0.000
0.000 0.000 22.181
La Mg Co
4 8 4
Direct
0.000 0.000 0.000
0.000 0.500 0.250
0.500 0.000 0.750
0.500 0.500 0.500
0.228 0.250 0.625
0.250 0.728 0.875
0.250 0.772 0.375
0.272 0.250 0.125
0.728 0.750 0.125
0.750 0.228 0.375
0.750 0.272 0.875
0.772 0.750 0.625
0.000 0.000 0.500
0.000 0.500 0.750
0.500 0.000 0.250
0.500 0.500 0.000

---

Record 14
Li2CaMg GGA-PBEsol relaxed; energy = -1.917 eV/atom; space-group type = F-43m, No. 216
1.0
7.462 0.000 0.000
0.000 7.462 0.000
0.000 0.000 7.462
Li Ca Mg
8 4 4
Direct
0.000 0.000 0.000
0.000 0.500 0.500
0.250 0.250 0.250
0.250 0.750 0.750
0.500 0.000 0.500
0.500 0.500 0.000
0.750 0.250 0.750
0.750 0.750 0.250
0.250 0.250 0.750
0.250 0.750 0.250
0.750 0.250 0.250
0.750 0.750 0.750
0.000 0.000 0.500
0.000 0.500 0.000
0.500 0.000 0.000
0.500 0.500 0.500